# PBE Ba2AcHg, optimized geometry
# * relative energy among the computed polymorphs: 0.0 kJ/mol of atoms
# * formation energy from the elements: -184 meV per atom
# * total energy: -2.25 eV per atom
# * density of states at the Fermi level: 1.54 states/eV per atom
data_Ba2AcHg
_cell_length_a 4.1378
_cell_length_b 4.1378
_cell_length_c 10.5125
_cell_angle_alpha 90.00
_cell_angle_beta 90.00
_cell_angle_gamma 90.00
_symmetry_space_group_name_H-M 'P 4/m m m'
_symmetry_Int_Tables_number 123
_symmetry_space_group_name_Hall '-P 4 2'
loop_
_atom_site_label
_atom_site_type_symbol
_atom_site_fract_x
_atom_site_fract_y
_atom_site_fract_z
Ba1 Ba 0.0000 0.0000 0.1989
Ac1 Ac 0.5000 0.5000 0.5000
Hg1 Hg 0.5000 0.5000 0.0000